Run i
Entry from the Alexandria database: a geometry-optimized HoScNiRh structure (PBE-GGA).

CIF file:
```
data_HoScNiRh
_chemical_formula_sum 'Ho1 Sc1 Ni1 Rh1'
_cell_length_a 3.2850
_cell_length_b 3.2850
_cell_length_c 6.6428
_cell_angle_alpha 90.00
_cell_angle_beta 90.00
_cell_angle_gamma 90.00
_space_group_name_H-M_alt 'P 4 m m'
_space_group_IT_number 99
loop_
_space_group_symop_operation_xyz
'x,y,z'
'-y,x,z'
'-x,-y,z'
'y,-x,z'
'-x,y,z'
'y,x,z'
'x,-y,z'
'-y,-x,z'
loop_
_atom_site_label
_atom_site_type_symbol
_atom_site_fract_x
_atom_site_fract_y
_atom_site_fract_z
_atom_site_occupancy
Ho1 Ho 0.0000 0.0000 0.0000 1
Sc1 Sc 0.0000 0.0000 0.5053 1
Ni1 Ni 0.5000 0.5000 0.7336 1
Rh1 Rh 0.5000 0.5000 0.2713 1
```

Properties
- DOS(E_F): 2.63 states/eV/f.u.

=====

Run ii
Entry from the Alexandria database: a geometry-optimized HoScNiRh structure (PBE-GGA).

CIF file:
```
data_HoScNiRh
_chemical_formula_sum 'Ho4 Sc4 Ni4 Rh4'
_cell_length_a 6.6121
_cell_length_b 6.6121
_cell_length_c 6.6121
_cell_angle_alpha 90.00
_cell_angle_beta 90.00
_cell_angle_gamma 90.00
_space_group_name_H-M_alt 'F -4 3 m'
_space_group_IT_number 216
_space_group_name_Hall 'F -4 2 3'
loop_
_atom_site_label
_atom_site_type_symbol
_atom_site_fract_x
_atom_site_fract_y
_atom_site_fract_z
_atom_site_occupancy
Ho1 Ho 0.0000 0.0000 0.0000 1
Sc1 Sc 0.0000 0.0000 0.5000 1
Ni1 Ni 0.2500 0.2500 0.7500 1
Rh1 Rh 0.2500 0.2500 0.2500 1
```

Properties
- DOS(E_F): 1.72 states/eV/f.u.

=====

run i ends up most stable, edging out the next structure by 13 meV per atom.

=====

Run i
Entry from the Alexandria database: a geometry-optimized HoThNiRh structure (PBE-GGA).

CIF file:
```
data_HoThNiRh
_chemical_formula_sum 'Ho4 Th4 Ni4 Rh4'
_cell_length_a 6.9621
_cell_length_b 6.9621
_cell_length_c 6.9621
_cell_angle_alpha 90.00
_cell_angle_beta 90.00
_cell_angle_gamma 90.00
_space_group_name_H-M_alt 'F -4 3 m'
_space_group_IT_number 216
_space_group_name_Hall 'F -4 2 3'
loop_
_atom_site_label
_atom_site_type_symbol
_atom_site_fract_x
_atom_site_fract_y
_atom_site_fract_z
_atom_site_occupancy
Ho1 Ho 0.0000 0.0000 0.0000 1
Th1 Th 0.0000 0.0000 0.5000 1
Ni1 Ni 0.2500 0.2500 0.7500 1
Rh1 Rh 0.2500 0.2500 0.2500 1
```

Properties
- DOS(E_F): 4.92 states/eV/f.u.

=====

Run ii
Entry from the Alexandria database: a geometry-optimized HoThNiRh structure (PBE-GGA).

CIF file:
```
data_HoThNiRh
_chemical_formula_sum 'Ho2 Th2 Ni2 Rh2'
_cell_length_a 4.4253
_cell_length_b 3.7435
_cell_length_c 10.3243
_cell_angle_alpha 90.00
_cell_angle_beta 90.00
_cell_angle_gamma 90.00
_space_group_name_H-M_alt 'A m m 2'
_space_group_IT_number 38
loop_
_space_group_symop_operation_xyz
'x,y,z'
'-x,-y,z'
'-x,y,z'
'x,-y,z'
'x,y+1/2,z+1/2'
'-x,-y+1/2,z+1/2'
'-x,y+1/2,z+1/2'
'x,-y+1/2,z+1/2'
loop_
_atom_site_label
_atom_site_type_symbol
_atom_site_fract_x
_atom_site_fract_y
_atom_site_fract_z
_atom_site_occupancy
Ho1 Ho 0.0000 0.0000 0.0000 1
Th1 Th 0.5000 0.0000 0.2758 1
Ni1 Ni 0.0000 0.0000 0.7212 1
Rh1 Rh 0.5000 0.0000 0.5492 1
```

Properties
- DOS(E_F): 2.77 states/eV/f.u.

=====

run ii ends up most stable, edging out the next structure by 120 meV per atom.

=====

Run i
Entry from the Alexandria database: a geometry-optimized YHoNiRh structure (PBE-GGA).

CIF file:
```
data_YHoNiRh
_chemical_formula_sum 'Y4 Ho4 Ni4 Rh4'
_cell_length_a 6.8177
_cell_length_b 6.8177
_cell_length_c 6.8177
_cell_angle_alpha 90.00
_cell_angle_beta 90.00
_cell_angle_gamma 90.00
_space_group_name_H-M_alt 'F -4 3 m'
_space_group_IT_number 216
_space_group_name_Hall 'F -4 2 3'
loop_
_atom_site_label
_atom_site_type_symbol
_atom_site_fract_x
_atom_site_fract_y
_atom_site_fract_z
_atom_site_occupancy
Y1 Y 0.0000 0.0000 0.0000 1
Ho1 Ho 0.0000 0.0000 0.5000 1
Ni1 Ni 0.2500 0.2500 0.2500 1
Rh1 Rh 0.2500 0.2500 0.7500 1
```

Properties
- DOS(E_F): 1.91 states/eV/f.u.

=====

Run ii
Entry from the Alexandria database: a geometry-optimized YHoNiRh structure (PBE-GGA).

CIF file:
```
data_YHoNiRh
_chemical_formula_sum 'Y2 Ho2 Ni2 Rh2'
_cell_length_a 4.1382
_cell_length_b 3.8009
_cell_length_c 10.5406
_cell_angle_alpha 90.00
_cell_angle_beta 90.00
_cell_angle_gamma 90.00
_space_group_name_H-M_alt 'A m m 2'
_space_group_IT_number 38
loop_
_space_group_symop_operation_xyz
'x,y,z'
'-x,-y,z'
'-x,y,z'
'x,-y,z'
'x,y+1/2,z+1/2'
'-x,-y+1/2,z+1/2'
'-x,y+1/2,z+1/2'
'x,-y+1/2,z+1/2'
loop_
_atom_site_label
_atom_site_type_symbol
_atom_site_fract_x
_atom_site_fract_y
_atom_site_fract_z
_atom_site_occupancy
Y1 Y 0.0000 0.0000 0.0000 1
Ho1 Ho 0.5000 0.0000 0.7175 1
Ni1 Ni 0.5000 0.0000 0.4352 1
Rh1 Rh 0.0000 0.0000 0.2794 1
```

Properties
- DOS(E_F): 2.69 states/eV/f.u.

=====

run ii ends up most stable, edging out the next structure by 21 meV per atom.